A plane-wave DFT calculation with meta-GGA SCAN was carried out for a crystal of InCoRh2 relaxed with PBEsol.

Values from the calculation:
formation energy	0.0048	eV/atom
V	13.947	Å³/atom
total magnetization	2.2	μB/cell
ρ	11.298	g/cm³
SG	I-4m2
electronic total energy	-118.21	eV for the cell shown

a b c (Å): 4.6646 4.6646 4.6646
angles (deg): 131.48 131.48 71.06
Sites, in units of the cell vectors:
In: 0.0000 0.0000 0.0000
Co: 0.2500 0.7500 0.5000
Rh: 0.5000 0.5000 0.0000
Rh: 0.7500 0.2500 0.5000